No. 1
A plane-wave DFT calculation with PBE-GGA was carried out for an optimized crystal structure of LiSeCl2.

Values from the calculation:
The value obtained for the total magnetization is 0.64 μB per cell. Its density of states at the Fermi level is 3.37 states/eV/f.u. As for the theoretical density: 3.35 g cm⁻³. For the formation energy without anion corrections, the calculation gives -0.442 eV per atom.

a = 8.014 Å, b = 8.014 Å, c = 8.014 Å
α = 24.47°, β = 24.47°, γ = 24.47°
Fractional coordinates of all 4 atoms:
Li: 0.000 0.000 0.000
Se: 0.500 0.500 0.500
Cl: 0.268 0.268 0.268
Cl: 0.732 0.732 0.732



No. 2
A plane-wave DFT calculation with PBE-GGA was carried out for an optimized crystal structure of Pt.

Values from the calculation:
The value obtained for the total magnetization is 0.00 μB per cell. Its density of states at the Fermi level is 1.48 states/eV/f.u. As for the theoretical density: 14.85 g cm⁻³. The calculated formation energy comes out at 0.652 eV/f.u.

a = 4.388 Å, b = 4.388 Å, c = 2.617 Å
α = 90.00°, β = 90.00°, γ = 120.00°
Fractional coordinates of all 2 atoms:
Pt: 0.333 0.667 0.000
Pt: 0.667 0.333 0.000



No. 3
A plane-wave DFT calculation with PBE-GGA was carried out for an optimized crystal structure of CeGdZnIn.

Values from the calculation:
The value obtained for the total magnetization is 8.63 μB per cell. Its density of states at the Fermi level is 9.10 states/eV/f.u. As for the theoretical density: 7.56 g cm⁻³. The calculated formation energy comes out at -1.283 eV/f.u.

a = 5.293 Å, b = 5.293 Å, c = 5.293 Å
α = 60.00°, β = 60.00°, γ = 60.00°
Fractional coordinates of all 4 atoms:
Ce: 0.000 0.000 0.000
Gd: 0.500 0.500 0.500
Zn: 0.750 0.750 0.750
In: 0.250 0.250 0.250



Number 1: final energy -2.71 eV/atom. Number 2: final energy -5.39 eV/atom. Number 3: final energy -6.33 eV/atom.